No. 1
A geometry-optimized MgZrRe structure. Source: the Alexandria database, functional PBE-GGA.

Output
E_form: 0.13 eV/atom
Distance to the lowest polymorph of the same formula: 36 meV per atom
Fermi-level density of states: 3.96 states/eV/f.u.

abc: 5.384 5.384 5.384
angles: 142.77 142.77 53.67
Element x y z (fractional)
Mg  0.987  0.987  0.000
Re  0.326  0.326  0.000
Zr  0.686  0.686  0.000

No. 2
A geometry-optimized MgZr2Re2 structure. Source: the Alexandria database, functional PBE-GGA.

Output
E_form: 0.12 eV/atom
Fermi-level density of states: 4.14 states/eV/f.u.

abc: 7.776 7.776 3.316
angles: 90.00 90.00 90.00
Element x y z (fractional)
Re  0.393  0.893  0.000
Re  0.607  0.107  0.000
Re  0.893  0.607  0.000
Re  0.107  0.393  0.000
Zr  0.309  0.191  0.500
Zr  0.691  0.809  0.500
Zr  0.809  0.309  0.500
Zr  0.191  0.691  0.500
Mg  0.500  0.500  0.000
Mg  0.000  0.000  0.000

No. 3
A geometry-optimized Mg2Rh structure. Source: the Alexandria database, functional PBE-GGA.

Output
E_form: 0.19 eV/atom
Fermi-level density of states: 1.86 states/eV/f.u.

abc: 5.280 5.280 5.280
angles: 60.00 60.00 60.00
Element x y z (fractional)
Mg  0.625  0.125  0.125
Mg  0.125  0.625  0.125
Mg  0.125  0.125  0.125
Mg  0.125  0.125  0.625
Rh  0.500  0.500  0.500
Rh  0.750  0.750  0.750